Entry 1:
{"formula": "Fe2CoAgCl8", "functional": "PBE", "state": "relaxed", "cell": [[7.250, 0.695, 0.000], [-2.592, 6.806, 0.000], [-2.329, -3.751, 5.793]], "species": ["Cl", "Cl", "Cl", "Fe", "Cl", "Cl", "Cl", "Cl", "Ag", "Cl", "Co", "Fe"], "frac_coords": [[0.337, 0.559, 0.222], [0.884, 0.663, 0.222], [0.793, 0.089, 0.704], [0.750, 0.250, 0.500], [0.911, 0.207, 0.296], [0.385, 0.089, 0.296], [0.441, 0.663, 0.778], [0.337, 0.116, 0.778], [0.000, 0.000, 0.000], [0.911, 0.615, 0.704], [0.250, 0.750, 0.500], [0.500, 0.500, 0.000]], "formation_energy_uncorrected_ev_per_atom": -0.516, "magmom_total_mub_per_atom": 1.00, "volume_a3_per_cell": 296.3}


Entry 2:
{"formula": "CoAgGe2Cl", "functional": "PBE", "state": "relaxed", "cell": [[-1.472, -3.372, 2.408], [0.690, -2.719, -3.386], [4.944, -0.914, 1.741]], "species": ["Co", "Ge", "Ag", "Cl", "Ge"], "frac_coords": [[0.000, 0.000, 0.000], [0.000, 0.500, 0.000], [0.000, 0.000, 0.500], [0.500, 0.500, 0.500], [0.500, 0.000, 0.000]], "formation_energy_uncorrected_ev_per_atom": 0.108, "magmom_total_mub_per_atom": 0.00, "volume_a3_per_cell": 102.9}


Entry 3:
{"formula": "HoCoAgCl6", "functional": "PBE", "state": "relaxed", "cell": [[6.517, 0.000, 0.000], [-3.259, 5.644, 0.000], [0.000, 0.000, 12.184]], "species": ["Cl", "Ho", "Cl", "Cl", "Cl", "Cl", "Cl", "Cl", "Co", "Ag", "Cl", "Cl", "Co", "Ho", "Cl", "Ag", "Cl", "Cl"], "frac_coords": [[0.979, 0.638, 0.867], [0.667, 0.333, 0.250], [0.362, 0.021, 0.633], [0.979, 0.341, 0.633], [0.638, 0.659, 0.133], [0.362, 0.341, 0.867], [0.341, 0.979, 0.133], [0.021, 0.362, 0.133], [0.333, 0.667, 0.250], [0.000, 0.000, 0.500], [0.659, 0.638, 0.633], [0.341, 0.362, 0.367], [0.667, 0.333, 0.750], [0.333, 0.667, 0.750], [0.021, 0.659, 0.367], [0.000, 0.000, 0.000], [0.659, 0.021, 0.867], [0.638, 0.979, 0.367]], "formation_energy_uncorrected_ev_per_atom": -1.261, "magmom_total_mub_per_atom": 0.33, "volume_a3_per_cell": 448.1}


Entry 4:
{"formula": "CoAg2ICl", "functional": "PBE", "state": "relaxed", "cell": [[-4.076, -2.379, -2.566], [2.692, -2.346, -2.100], [-0.247, -3.734, 3.854]], "species": ["I", "Ag", "Ag", "Cl", "Co"], "frac_coords": [[0.500, 0.500, 0.500], [0.500, 0.000, 0.000], [0.000, 0.000, 0.500], [0.000, 0.000, 0.000], [0.000, 0.500, 0.000]], "formation_energy_uncorrected_ev_per_atom": 0.492, "magmom_total_mub_per_atom": 0.22, "volume_a3_per_cell": 119.5}


Entry 5:
{"formula": "InCoAgCl6", "functional": "PBE", "state": "relaxed", "cell": [[6.351, 0.000, 0.000], [-3.176, 5.500, 0.000], [0.000, 0.000, 11.952]], "species": ["Cl", "In", "Cl", "Cl", "Cl", "Cl", "Cl", "In", "Cl", "Co", "Ag", "Co", "Ag", "Cl", "Cl", "Cl", "Cl", "Cl"], "frac_coords": [[0.629, 0.655, 0.136], [0.333, 0.667, 0.750], [0.974, 0.629, 0.864], [0.655, 0.629, 0.636], [0.974, 0.345, 0.636], [0.345, 0.371, 0.364], [0.629, 0.974, 0.364], [0.667, 0.333, 0.250], [0.026, 0.655, 0.364], [0.333, 0.667, 0.250], [0.000, 0.000, 0.500], [0.667, 0.333, 0.750], [0.000, 0.000, 0.000], [0.345, 0.974, 0.136], [0.655, 0.026, 0.864], [0.371, 0.026, 0.636], [0.026, 0.371, 0.136], [0.371, 0.345, 0.864]], "formation_energy_uncorrected_ev_per_atom": -0.702, "magmom_total_mub_per_atom": 0.10, "volume_a3_per_cell": 417.5}


Entry 6:
{"formula": "InCoAgCl2", "functional": "PBE", "state": "relaxed", "cell": [[-3.939, 2.157, 2.609], [-3.186, -3.261, -2.114], [0.785, -3.311, 3.924]], "species": ["Ag", "In", "Cl", "Co", "Cl"], "frac_coords": [[0.000, 0.000, 0.000], [0.500, 0.500, 0.500], [0.000, 0.000, 0.500], [0.000, 0.500, 0.000], [0.500, 0.000, 0.000]], "formation_energy_uncorrected_ev_per_atom": 0.373, "magmom_total_mub_per_atom": 0.50, "volume_a3_per_cell": 135.6}


Entry 7:
{"formula": "KCo2AgCl8", "functional": "PBE", "state": "relaxed", "cell": [[6.407, 0.000, 0.000], [3.204, 5.549, 0.000], [3.204, 1.850, 9.263]], "species": ["Cl", "Cl", "K", "Cl", "Co", "Co", "Ag", "Cl", "Cl", "Cl", "Cl", "Cl"], "frac_coords": [[0.054, 0.403, 0.826], [0.173, 0.173, 0.481], [0.500, 0.500, 0.500], [0.283, 0.946, 0.174], [0.251, 0.251, 0.246], [0.749, 0.749, 0.754], [0.000, 0.000, 0.000], [0.597, 0.283, 0.174], [0.827, 0.827, 0.519], [0.946, 0.597, 0.174], [0.717, 0.054, 0.826], [0.403, 0.717, 0.826]], "formation_energy_uncorrected_ev_per_atom": -0.754, "magmom_total_mub_per_atom": 0.67, "volume_a3_per_cell": 329.3}


Entry 8:
{"formula": "KCoAg2Cl6", "functional": "PBE", "state": "relaxed", "cell": [[-0.230, 6.687, -0.319], [-5.665, 3.069, -1.814], [-3.952, 3.487, 5.867]], "species": ["Cl", "Ag", "Cl", "Cl", "Cl", "Co", "Ag", "K", "Cl", "Cl"], "frac_coords": [[0.098, 0.389, 0.861], [0.008, 0.006, 0.978], [0.242, 0.981, 0.245], [0.651, 0.098, 0.861], [0.390, 0.652, 0.858], [0.316, 0.316, 0.052], [0.625, 0.626, 0.125], [0.816, 0.816, 0.552], [0.535, 0.243, 0.242], [0.982, 0.535, 0.243]], "formation_energy_uncorrected_ev_per_atom": -0.778, "magmom_total_mub_per_atom": 0.00, "volume_a3_per_cell": 267.1}


Entry 9:
{"formula": "KCoAgCl4", "functional": "PBE", "state": "relaxed", "cell": [[-0.101, 2.466, 5.884], [-3.097, -6.108, 2.507], [7.487, -4.038, -0.592]], "species": ["K", "Cl", "Cl", "Cl", "Ag", "Cl", "Co", "Cl", "Cl", "Cl", "Ag", "Cl", "Co", "K"], "frac_coords": [[0.746, 0.750, 0.931], [0.982, 0.510, 0.279], [0.527, 0.250, 0.448], [0.641, 0.250, 0.902], [0.164, 0.250, 0.526], [0.473, 0.750, 0.552], [0.780, 0.250, 0.687], [0.018, 0.010, 0.721], [0.982, 0.990, 0.279], [0.359, 0.750, 0.098], [0.836, 0.750, 0.474], [0.018, 0.490, 0.721], [0.220, 0.750, 0.313], [0.254, 0.250, 0.069]], "formation_energy_uncorrected_ev_per_atom": -0.920, "magmom_total_mub_per_atom": 0.43, "volume_a3_per_cell": 383.1}


Entry 10:
{"formula": "KCoAgCl6", "functional": "PBE", "state": "relaxed", "cell": [[6.549, 0.001, 0.002], [3.275, 5.663, 0.001], [0.005, -0.001, 6.735]], "species": ["Cl", "Cl", "Co", "Ag", "Cl", "Cl", "Cl", "K", "Cl"], "frac_coords": [[0.046, 0.347, 0.306], [0.347, 0.607, 0.305], [0.333, 0.333, 0.500], [0.667, 0.667, 0.500], [0.607, 0.046, 0.305], [0.607, 0.347, 0.694], [0.348, 0.046, 0.695], [0.000, 0.000, 0.000], [0.046, 0.607, 0.695]], "formation_energy_uncorrected_ev_per_atom": -0.775, "magmom_total_mub_per_atom": 0.12, "volume_a3_per_cell": 249.8}


Entry 11:
{"formula": "KCoAgCl5", "functional": "PBE", "state": "relaxed", "cell": [[7.537, 0.051, 0.130], [-2.152, 7.223, 0.130], [-2.054, -2.775, 8.267]], "species": ["K", "Ag", "Cl", "Cl", "Co", "Cl", "Co", "Cl", "Ag", "Cl", "K", "Cl", "Cl", "Cl", "Cl", "Cl"], "frac_coords": [[0.342, 0.658, 0.250], [0.000, 0.000, 0.500], [0.337, 0.903, 0.628], [0.404, 0.263, 0.067], [0.677, 0.323, 0.250], [0.097, 0.663, 0.872], [0.323, 0.677, 0.750], [0.263, 0.404, 0.567], [0.000, 0.000, 0.000], [0.596, 0.737, 0.933], [0.658, 0.342, 0.750], [0.082, 0.918, 0.250], [0.663, 0.097, 0.372], [0.903, 0.337, 0.128], [0.918, 0.082, 0.750], [0.737, 0.596, 0.433]], "formation_energy_uncorrected_ev_per_atom": -0.885, "magmom_total_mub_per_atom": 0.47, "volume_a3_per_cell": 456.4}


Entry 12:
{"formula": "K3CoAg2Cl8", "functional": "PBE", "state": "relaxed", "cell": [[-3.613, 0.244, -5.891], [6.647, -1.906, -0.096], [-2.540, -8.918, 1.189]], "species": ["Cl", "K", "Cl", "Cl", "Cl", "Cl", "K", "Cl", "K", "Co", "Ag", "Cl", "Cl", "Ag"], "frac_coords": [[0.846, 0.692, 0.646], [0.333, 0.667, 0.617], [0.154, 0.846, 0.354], [0.154, 0.308, 0.354], [0.667, 0.333, 0.062], [0.333, 0.667, 0.938], [0.000, 0.000, 0.000], [0.846, 0.154, 0.646], [0.667, 0.333, 0.383], [0.000, 0.000, 0.500], [0.333, 0.667, 0.194], [0.692, 0.846, 0.354], [0.308, 0.154, 0.646], [0.667, 0.333, 0.806]], "formation_energy_uncorrected_ev_per_atom": -1.075, "magmom_total_mub_per_atom": 0.01, "volume_a3_per_cell": 387.2}


Repeat the third record exactly.
{"formula": "HoCoAgCl6", "functional": "PBE", "state": "relaxed", "cell": [[6.517, 0.000, 0.000], [-3.259, 5.644, 0.000], [0.000, 0.000, 12.184]], "species": ["Cl", "Ho", "Cl", "Cl", "Cl", "Cl", "Cl", "Cl", "Co", "Ag", "Cl", "Cl", "Co", "Ho", "Cl", "Ag", "Cl", "Cl"], "frac_coords": [[0.979, 0.638, 0.867], [0.667, 0.333, 0.250], [0.362, 0.021, 0.633], [0.979, 0.341, 0.633], [0.638, 0.659, 0.133], [0.362, 0.341, 0.867], [0.341, 0.979, 0.133], [0.021, 0.362, 0.133], [0.333, 0.667, 0.250], [0.000, 0.000, 0.500], [0.659, 0.638, 0.633], [0.341, 0.362, 0.367], [0.667, 0.333, 0.750], [0.333, 0.667, 0.750], [0.021, 0.659, 0.367], [0.000, 0.000, 0.000], [0.659, 0.021, 0.867], [0.638, 0.979, 0.367]], "formation_energy_uncorrected_ev_per_atom": -1.261, "magmom_total_mub_per_atom": 0.33, "volume_a3_per_cell": 448.1}